1.
Below is a relaxed TbFe6Co5W crystal, with properties calculated at the GGA-PBE level.

The formation energy comes out at -0.027 eV per atom.

It has space group Imm2 (No. 44), with a = 4.678 Å, b = 8.413 Å, c = 8.451 Å, α = 90.00°, β = 90.00° and γ = 90.00°. The distinct sites, in fractional coordinates, are Tb at (0.000, 0.000, 0.000), Fe at (0.000, 0.500, 0.272), Fe at (0.000, 0.500, 0.723), Fe at (0.250, 0.249, 0.248), Co at (0.000, 0.000, 0.346), Co at (0.000, 0.275, 0.495), Co at (0.000, 0.359, 0.996) and W at (0.000, 0.000, 0.626).

---

2.
Below is a relaxed AlV4Re crystal, with properties calculated at the GGA-PBE level.

The formation energy comes out at -0.082 eV per atom. The energy above the most stable polymorph in this dataset comes out at 118 meV/atom.

It has space group F-43m (No. 216), with a = 6.924 Å, b = 6.924 Å, c = 6.924 Å, α = 90.00°, β = 90.00° and γ = 90.00°. The distinct sites, in fractional coordinates, are Al at (0.000, 0.000, 0.000), V at (0.125, 0.125, 0.375) and Re at (0.250, 0.250, 0.750).

---

3.
Below is a relaxed LaYCoAg crystal, with properties calculated at the GGA-PBE level.

The formation energy comes out at -0.096 eV per atom.

It has space group F-43m (No. 216), with a = 7.197 Å, b = 7.197 Å, c = 7.197 Å, α = 90.00°, β = 90.00° and γ = 90.00°. The distinct sites, in fractional coordinates, are La at (0.000, 0.000, 0.000), Y at (0.000, 0.000, 0.500), Co at (0.250, 0.250, 0.250) and Ag at (0.250, 0.250, 0.750).

---

4.
Below is a relaxed La2CoSnPd crystal, with properties calculated at the GGA-PBE level.

The formation energy comes out at 0.550 eV per atom.

It has space group P4/mmm (No. 123), with a = 6.003 Å, b = 6.003 Å, c = 4.876 Å, α = 90.00°, β = 90.00° and γ = 90.00°. The distinct sites, in fractional coordinates, are La at (0.000, 0.500, 0.000), Co at (0.000, 0.000, 0.500), Sn at (0.500, 0.500, 0.000) and Pd at (0.500, 0.500, 0.500).